# ErCu4Ag (SCAN, PBEsol geometry)
# DOS(E_F) = 14.72 states/eV/cell
# crystal system = cubic
# VASP energy = -576.4 eV/cell
data_ErCu4Ag
_chemical_formula_sum 'Er4 Cu16 Ag4'
_cell_length_a 6.987
_cell_length_b 6.987
_cell_length_c 6.987
_cell_angle_alpha 90.00
_cell_angle_beta 90.00
_cell_angle_gamma 90.00
_space_group_name_H-M_alt 'F -4 3 m'
_space_group_IT_number 216
_space_group_name_Hall 'F -4 2 3'
loop_
_atom_site_label
_atom_site_type_symbol
_atom_site_fract_x
_atom_site_fract_y
_atom_site_fract_z
_atom_site_occupancy
Er1 Er 0.000 0.000 0.000 1
Cu1 Cu 0.124 0.124 0.376 1
Ag1 Ag 0.250 0.250 0.750 1

=====

# Cu3AgF (SCAN, PBEsol geometry)
# DOS(E_F) = 1.67 states/eV/cell
# crystal system = cubic
# VASP energy = -76.1 eV/cell
data_Cu3AgF
_chemical_formula_sum 'Cu3 Ag1 F1'
_cell_length_a 4.631
_cell_length_b 4.631
_cell_length_c 4.631
_cell_angle_alpha 90.00
_cell_angle_beta 90.00
_cell_angle_gamma 90.00
_space_group_name_H-M_alt 'P m -3 m'
_space_group_IT_number 221
_space_group_name_Hall '-P 4 2 3'
loop_
_atom_site_label
_atom_site_type_symbol
_atom_site_fract_x
_atom_site_fract_y
_atom_site_fract_z
_atom_site_occupancy
Cu1 Cu 0.000 0.000 0.500 1
Ag1 Ag 0.000 0.000 0.000 1
F1 F 0.500 0.500 0.500 1

=====

# CuAg3F (SCAN, PBEsol geometry)
# DOS(E_F) = 1.36 states/eV/cell
# crystal system = cubic
# VASP energy = -110.8 eV/cell
data_CuAg3F
_chemical_formula_sum 'Cu1 Ag3 F1'
_cell_length_a 4.673
_cell_length_b 4.673
_cell_length_c 4.673
_cell_angle_alpha 90.00
_cell_angle_beta 90.00
_cell_angle_gamma 90.00
_space_group_name_H-M_alt 'P m -3 m'
_space_group_IT_number 221
_space_group_name_Hall '-P 4 2 3'
loop_
_atom_site_label
_atom_site_type_symbol
_atom_site_fract_x
_atom_site_fract_y
_atom_site_fract_z
_atom_site_occupancy
Cu1 Cu 0.000 0.000 0.000 1
Ag1 Ag 0.000 0.000 0.500 1
F1 F 0.500 0.500 0.500 1

=====

# Fe2CuAg (SCAN, PBEsol geometry)
# distance to the lowest polymorph of the same formula = 220 meV per atom
# DOS(E_F) = 7.79 states/eV/cell
# crystal system = cubic
data_Fe2CuAg
_chemical_formula_sum 'Fe8 Cu4 Ag4'
_cell_length_a 5.918
_cell_length_b 5.918
_cell_length_c 5.918
_cell_angle_alpha 90.00
_cell_angle_beta 90.00
_cell_angle_gamma 90.00
_space_group_name_H-M_alt 'F m -3 m'
_space_group_IT_number 225
_space_group_name_Hall '-F 4 2 3'
loop_
_atom_site_label
_atom_site_type_symbol
_atom_site_fract_x
_atom_site_fract_y
_atom_site_fract_z
_atom_site_occupancy
Fe1 Fe 0.250 0.250 0.250 1
Cu1 Cu 0.000 0.000 0.000 1
Ag1 Ag 0.000 0.000 0.500 1

=====

# Fe2CuAg (SCAN, PBEsol geometry)
# distance to the lowest polymorph of the same formula = 0 meV per atom
# DOS(E_F) = 2.54 states/eV/cell
# crystal system = tetragonal
data_Fe2CuAg
_chemical_formula_sum 'Fe2 Cu1 Ag1'
_cell_length_a 2.925
_cell_length_b 2.925
_cell_length_c 5.930
_cell_angle_alpha 90.00
_cell_angle_beta 90.00
_cell_angle_gamma 90.00
_space_group_name_H-M_alt 'P 4 m m'
_space_group_IT_number 99
_space_group_name_Hall 'P 4 -2'
loop_
_atom_site_label
_atom_site_type_symbol
_atom_site_fract_x
_atom_site_fract_y
_atom_site_fract_z
_atom_site_occupancy
Fe1 Fe 0.000 0.000 0.000 1
Fe2 Fe 0.500 0.500 0.204 1
Cu1 Cu 0.500 0.500 0.766 1
Ag1 Ag 0.000 0.000 0.493 1

=====

# Fe2CuAg (SCAN, PBEsol geometry)
# distance to the lowest polymorph of the same formula = 93 meV per atom
# DOS(E_F) = 13.94 states/eV/cell
# crystal system = cubic
data_Fe2CuAg
_chemical_formula_sum 'Fe8 Cu4 Ag4'
_cell_length_a 5.873
_cell_length_b 5.873
_cell_length_c 5.873
_cell_angle_alpha 90.00
_cell_angle_beta 90.00
_cell_angle_gamma 90.00
_space_group_name_H-M_alt 'F -4 3 m'
_space_group_IT_number 216
_space_group_name_Hall 'F -4 2 3'
loop_
_atom_site_label
_atom_site_type_symbol
_atom_site_fract_x
_atom_site_fract_y
_atom_site_fract_z
_atom_site_occupancy
Fe1 Fe 0.000 0.000 0.000 1
Fe2 Fe 0.250 0.250 0.250 1
Cu1 Cu 0.250 0.250 0.750 1
Ag1 Ag 0.000 0.000 0.500 1

=====

# FeCuAg (SCAN, PBEsol geometry)
# DOS(E_F) = 7.86 states/eV/cell
# crystal system = cubic
# VASP energy = -251.5 eV/cell
data_FeCuAg
_chemical_formula_sum 'Fe4 Cu4 Ag4'
_cell_length_a 5.683
_cell_length_b 5.683
_cell_length_c 5.683
_cell_angle_alpha 90.00
_cell_angle_beta 90.00
_cell_angle_gamma 90.00
_space_group_name_H-M_alt 'F -4 3 m'
_space_group_IT_number 216
_space_group_name_Hall 'F -4 2 3'
loop_
_atom_site_label
_atom_site_type_symbol
_atom_site_fract_x
_atom_site_fract_y
_atom_site_fract_z
_atom_site_occupancy
Fe1 Fe 0.000 0.000 0.000 1
Cu1 Cu 0.250 0.250 0.750 1
Ag1 Ag 0.000 0.000 0.500 1

=====

# Fe2CuAg (SCAN, PBEsol geometry)
# distance to the lowest polymorph of the same formula = 0 meV per atom
# DOS(E_F) = 5.16 states/eV/cell
# crystal system = orthorhombic
data_Fe2CuAg
_chemical_formula_sum 'Fe4 Cu2 Ag2'
_cell_length_a 3.117
_cell_length_b 4.070
_cell_length_c 8.038
_cell_angle_alpha 90.00
_cell_angle_beta 90.00
_cell_angle_gamma 90.00
_space_group_name_H-M_alt 'C m m 2'
_space_group_IT_number 35
_space_group_name_Hall 'C 2 -2'
loop_
_atom_site_label
_atom_site_type_symbol
_atom_site_fract_x
_atom_site_fract_y
_atom_site_fract_z
_atom_site_occupancy
Fe1 Fe 0.000 0.000 0.000 1
Fe2 Fe 0.000 0.500 0.225 1
Cu1 Cu 0.000 0.500 0.765 1
Ag1 Ag 0.000 0.000 0.498 1

=====

# Ga3CuAg (SCAN, PBEsol geometry)
# DOS(E_F) = 1.88 states/eV/cell
# crystal system = cubic
# VASP energy = -94.1 eV/cell
data_Ga3CuAg
_chemical_formula_sum 'Ga3 Cu1 Ag1'
_cell_length_a 4.576
_cell_length_b 4.576
_cell_length_c 4.576
_cell_angle_alpha 90.00
_cell_angle_beta 90.00
_cell_angle_gamma 90.00
_space_group_name_H-M_alt 'P m -3 m'
_space_group_IT_number 221
_space_group_name_Hall '-P 4 2 3'
loop_
_atom_site_label
_atom_site_type_symbol
_atom_site_fract_x
_atom_site_fract_y
_atom_site_fract_z
_atom_site_occupancy
Ga1 Ga 0.000 0.000 0.500 1
Cu1 Cu 0.000 0.000 0.000 1
Ag1 Ag 0.500 0.500 0.500 1

=====

# InGaCuAgSe4 (SCAN, PBEsol geometry)
# DOS(E_F) = 0.08 states/eV/cell
# crystal system = tetragonal
# VASP energy = -361.1 eV/cell
data_InGaCuAgSe4
_chemical_formula_sum 'In2 Ga2 Cu2 Ag2 Se8'
_cell_length_a 5.839
_cell_length_b 5.839
_cell_length_c 11.350
_cell_angle_alpha 90.00
_cell_angle_beta 90.00
_cell_angle_gamma 90.00
_space_group_name_H-M_alt 'I -4'
_space_group_IT_number 82
_space_group_name_Hall 'I -4'
loop_
_atom_site_label
_atom_site_type_symbol
_atom_site_fract_x
_atom_site_fract_y
_atom_site_fract_z
_atom_site_occupancy
In1 In 0.000 0.000 0.000 1
Ga1 Ga 0.000 0.500 0.250 1
Cu1 Cu 0.000 0.000 0.500 1
Ag1 Ag 0.000 0.500 0.750 1
Se1 Se 0.221 0.246 0.376 1

=====

# Sc2GaCuAg (SCAN, PBEsol geometry)
# DOS(E_F) = 4.35 states/eV/cell
# crystal system = tetragonal
# VASP energy = -91.3 eV/cell
data_Sc2GaCuAg
_chemical_formula_sum 'Sc2 Ga1 Cu1 Ag1'
_cell_length_a 4.888
_cell_length_b 4.888
_cell_length_c 4.345
_cell_angle_alpha 90.00
_cell_angle_beta 90.00
_cell_angle_gamma 90.00
_space_group_name_H-M_alt 'P 4/m m m'
_space_group_IT_number 123
_space_group_name_Hall '-P 4 2'
loop_
_atom_site_label
_atom_site_type_symbol
_atom_site_fract_x
_atom_site_fract_y
_atom_site_fract_z
_atom_site_occupancy
Sc1 Sc 0.000 0.500 0.000 1
Ga1 Ga 0.000 0.000 0.500 1
Cu1 Cu 0.000 0.000 0.000 1
Ag1 Ag 0.500 0.500 0.500 1

=====

# CuAgGe2Mo (SCAN, PBEsol geometry)
# DOS(E_F) = 2.57 states/eV/cell
# crystal system = tetragonal
# VASP energy = -111.7 eV/cell
data_CuAgGe2Mo
_chemical_formula_sum 'Cu1 Ag1 Ge2 Mo1'
_cell_length_a 4.697
_cell_length_b 4.697
_cell_length_c 5.161
_cell_angle_alpha 90.00
_cell_angle_beta 90.00
_cell_angle_gamma 90.00
_space_group_name_H-M_alt 'P 4/m m m'
_space_group_IT_number 123
_space_group_name_Hall '-P 4 2'
loop_
_atom_site_label
_atom_site_type_symbol
_atom_site_fract_x
_atom_site_fract_y
_atom_site_fract_z
_atom_site_occupancy
Cu1 Cu 0.000 0.000 0.000 1
Ag1 Ag 0.500 0.500 0.500 1
Ge1 Ge 0.000 0.500 0.500 1
Mo1 Mo 0.500 0.500 0.000 1

=====

Number 1: M_tot 0.0 μB/cell. Number 2: M_tot 0.0 μB/cell. Number 3: M_tot 0.0 μB/cell. Number 4: M_tot 23.7 μB/cell. Number 5: M_tot 5.6 μB/cell. Number 6: M_tot 22.2 μB/cell. Number 7: M_tot 12.1 μB/cell. Number 8: M_tot 11.1 μB/cell. Number 9: M_tot 0.0 μB/cell. Number 10: M_tot 0.0 μB/cell. Number 11: M_tot 0.0 μB/cell. Number 12: M_tot 4.2 μB/cell.